Record 1
{"formula": "GdThRu4", "functional": "PBE", "state": "relaxed", "cell": [[5.3970, 0.0000, 0.0000], [2.6985, 4.6739, 0.0000], [2.6985, 1.5580, 4.4066]], "species": ["Ru", "Gd", "Ru", "Th", "Ru", "Ru"], "frac_coords": [[0.6251, 0.1247, 0.6251], [0.0000, 0.0000, 0.0000], [0.6251, 0.6251, 0.1247], [0.2500, 0.2500, 0.2500], [0.1247, 0.6251, 0.6251], [0.6251, 0.6251, 0.6251]], "ef_ev_per_atom": -0.285, "n_ef_per_ev_atom": 0.690, "total_magnetization_mub_per_fu": 6.9}

=====

Record 2
{"formula": "GdTiRu2", "functional": "PBE", "state": "relaxed", "cell": [[-0.4730, -3.0105, -0.9965], [3.0623, -0.6953, 0.6469], [-1.7248, -1.7936, 6.2374]], "species": ["Ru", "Ti", "Gd", "Ru"], "frac_coords": [[0.0000, 0.0000, 0.2168], [0.5000, 0.5000, 0.0000], [0.5000, 0.5000, 0.5000], [0.0000, 0.0000, 0.7832]], "ef_ev_per_atom": -0.438, "n_ef_per_ev_atom": 0.553, "total_magnetization_mub_per_fu": 7.1}

=====

Record 3
{"formula": "GdTiRu2", "functional": "PBE", "state": "relaxed", "cell": [[3.2503, 0.0000, 0.0000], [0.0000, 4.6152, 0.0000], [0.0000, 0.0000, 4.6152]], "species": ["Gd", "Ru", "Ti", "Ru"], "frac_coords": [[0.5000, 0.5000, 0.5000], [0.0000, 0.0000, 0.5000], [0.5000, 0.0000, 0.0000], [0.0000, 0.5000, 0.0000]], "ef_ev_per_atom": -0.326, "n_ef_per_ev_atom": 0.707, "total_magnetization_mub_per_fu": 7.0}

=====

Record 4
{"formula": "GdTiZnRu", "functional": "PBE", "state": "relaxed", "cell": [[-1.1917, -3.7385, -2.5863], [3.2631, -2.2429, -2.5313], [1.4252, -4.2921, 1.2778]], "species": ["Zn", "Ru", "Gd", "Ti"], "frac_coords": [[0.7500, 0.7500, 0.7500], [0.2500, 0.2500, 0.2500], [0.0000, 0.0000, 0.0000], [0.5000, 0.5000, 0.5000]], "ef_ev_per_atom": -0.190, "n_ef_per_ev_atom": 0.911, "total_magnetization_mub_per_fu": 7.3}

=====

Record 5
{"formula": "GdTlRu", "functional": "PBE", "state": "relaxed", "cell": [[3.4690, 0.0000, 0.0000], [0.0000, 3.4690, 0.0000], [-1.7345, -1.7345, 5.4975]], "species": ["Ru", "Tl", "Gd"], "frac_coords": [[0.2827, 0.2827, 0.5654], [0.6382, 0.6382, 0.2763], [0.9291, 0.9291, 0.8583]], "ef_ev_per_atom": -0.081, "n_ef_per_ev_atom": 0.306, "total_magnetization_mub_per_fu": 7.0}

=====

Record 6
{"formula": "Gd3TlRu", "functional": "PBE", "state": "relaxed", "cell": [[5.3490, 0.0000, 0.0000], [0.0000, 5.3490, 0.0000], [0.0000, 0.0000, 5.3490]], "species": ["Gd", "Gd", "Tl", "Ru", "Gd"], "frac_coords": [[0.0000, 0.0000, 0.5000], [0.5000, 0.0000, 0.0000], [0.5000, 0.5000, 0.5000], [0.0000, 0.0000, 0.0000], [0.0000, 0.5000, 0.0000]], "ef_ev_per_atom": -0.188, "n_ef_per_ev_atom": 0.774, "total_magnetization_mub_per_fu": 21.3}

=====

Record 7
{"formula": "GdTlRu", "functional": "PBE", "state": "relaxed", "cell": [[-0.4260, -1.1234, -3.3507], [-3.9707, -2.2164, 1.2479], [-0.1626, 4.4745, -1.4795]], "species": ["Tl", "Gd", "Ru"], "frac_coords": [[0.1664, 0.0000, 0.0000], [0.6664, 0.6667, 0.3333], [0.1672, 0.3333, 0.6667]], "ef_ev_per_atom": 0.016, "n_ef_per_ev_atom": 0.966, "total_magnetization_mub_per_fu": 7.0}

=====

Record 8
{"formula": "GdTm3Ru", "functional": "PBE", "state": "relaxed", "cell": [[-1.0093, 2.3976, -4.6383], [-1.3589, -4.6821, -2.1245], [-5.0415, 0.7820, 1.5013]], "species": ["Tm", "Tm", "Tm", "Ru", "Gd"], "frac_coords": [[0.0000, 0.5000, 0.0000], [0.0000, 0.0000, 0.5000], [0.5000, 0.0000, 0.0000], [0.0000, 0.0000, 0.0000], [0.5000, 0.5000, 0.5000]], "ef_ev_per_atom": -0.122, "n_ef_per_ev_atom": 1.473, "total_magnetization_mub_per_fu": 7.8}

=====

Record 9
{"formula": "GdTm2Ru", "functional": "PBE", "state": "relaxed", "cell": [[-0.3282, -1.8224, 2.8469], [0.6884, -2.8364, -1.7363], [8.6386, 1.0684, 1.6797]], "species": ["Tm", "Gd", "Ru", "Tm"], "frac_coords": [[0.0000, 0.0000, 0.1821], [0.5000, 0.5000, 0.5000], [0.5000, 0.5000, 0.0000], [0.0000, 0.0000, 0.8179]], "ef_ev_per_atom": -0.273, "polymorph_energy_mev_per_atom": 0.0, "n_ef_per_ev_atom": 1.120, "total_magnetization_mub_per_fu": 7.7}

=====

Record 10
{"formula": "GdTm2Ru", "functional": "PBE", "state": "relaxed", "cell": [[-0.6672, -2.2567, -2.6231], [2.4292, -2.3717, -0.9446], [-3.1554, -7.9512, 5.2761]], "species": ["Ru", "Gd", "Tm", "Tm"], "frac_coords": [[0.0000, 0.0000, 0.0000], [0.5000, 0.5000, 0.5000], [0.2702, 0.2702, 0.1894], [0.7298, 0.7298, 0.8106]], "ef_ev_per_atom": -0.057, "polymorph_energy_mev_per_atom": 216.3, "n_ef_per_ev_atom": 1.319, "total_magnetization_mub_per_fu": 8.0}

=====

Record 11
{"formula": "GdTmRu2", "functional": "PBE", "state": "relaxed", "cell": [[3.3898, 0.0000, 0.0000], [0.0000, 3.3898, 0.0000], [0.0000, 0.0000, 6.7862]], "species": ["Tm", "Ru", "Ru", "Gd"], "frac_coords": [[0.5000, 0.5000, 0.0000], [0.0000, 0.0000, 0.7546], [0.0000, 0.0000, 0.2454], [0.5000, 0.5000, 0.5000]], "ef_ev_per_atom": -0.333, "n_ef_per_ev_atom": 1.213, "total_magnetization_mub_per_fu": 6.9}

=====

Record 12
{"formula": "GdTmZnRu", "functional": "PBE", "state": "relaxed", "cell": [[-2.1361, -1.4967, -4.1533], [2.6391, -2.3335, -3.4121], [-0.7138, -4.7850, -0.8042]], "species": ["Ru", "Tm", "Zn", "Gd"], "frac_coords": [[0.7500, 0.7500, 0.7500], [0.0000, 0.0000, 0.0000], [0.2500, 0.2500, 0.2500], [0.5000, 0.5000, 0.5000]], "ef_ev_per_atom": -0.359, "n_ef_per_ev_atom": 0.812, "total_magnetization_mub_per_fu": 7.1}

=====

Record 13
{"formula": "GdURu4", "functional": "PBE", "state": "relaxed", "cell": [[-4.0404, 2.2894, -2.5992], [-4.9270, -0.2433, 1.9966], [-2.2914, 4.3799, 1.9716]], "species": ["Ru", "Gd", "Ru", "Ru", "U", "Ru"], "frac_coords": [[0.6249, 0.6249, 0.1253], [0.0000, 0.0000, 0.0000], [0.6249, 0.1253, 0.6249], [0.1253, 0.6249, 0.6249], [0.2500, 0.2500, 0.2500], [0.6249, 0.6249, 0.6249]], "ef_ev_per_atom": -0.146, "n_ef_per_ev_atom": 1.914, "total_magnetization_mub_per_fu": 8.6}

=====

Record 14
{"formula": "GdVRu2", "functional": "PBE", "state": "relaxed", "cell": [[-0.1417, -2.0477, -2.4663], [-0.6617, -3.4579, 2.9091], [-4.5143, 0.6371, -0.2696]], "species": ["Gd", "V", "Ru", "Ru"], "frac_coords": [[0.5000, 0.5000, 0.5000], [0.5000, 0.0000, 0.0000], [0.0000, 0.0000, 0.5000], [0.0000, 0.5000, 0.0000]], "ef_ev_per_atom": -0.031, "n_ef_per_ev_atom": 0.587, "total_magnetization_mub_per_fu": 6.7}

=====

Record 15
{"formula": "GdVRu2", "functional": "PBE", "state": "relaxed", "cell": [[3.1035, 0.0000, 0.0000], [0.0000, 3.1035, 0.0000], [0.0000, 0.0000, 6.9613]], "species": ["V", "Ru", "Gd", "Ru"], "frac_coords": [[0.5000, 0.5000, 0.0000], [0.0000, 0.0000, 0.2032], [0.5000, 0.5000, 0.5000], [0.0000, 0.0000, 0.7968]], "ef_ev_per_atom": -0.203, "n_ef_per_ev_atom": 0.768, "total_magnetization_mub_per_fu": 6.9}

=====

Record 16
{"formula": "GdRu2W", "functional": "PBE", "state": "relaxed", "cell": [[-3.8818, 0.0807, -2.4654], [-1.7501, -3.9149, -1.6627], [-3.8833, -1.7166, 1.7681]], "species": ["Ru", "Ru", "W", "Gd"], "frac_coords": [[0.2500, 0.2500, 0.2500], [0.7500, 0.7500, 0.7500], [0.5000, 0.5000, 0.5000], [0.0000, 0.0000, 0.0000]], "ef_ev_per_atom": 0.099, "polymorph_energy_mev_per_atom": 163.8, "n_ef_per_ev_atom": 0.963, "total_magnetization_mub_per_fu": 6.4}

=====

Record 17
{"formula": "GdRu2W", "functional": "PBE", "state": "relaxed", "cell": [[3.1188, 0.0000, 0.0000], [0.0000, 3.1188, 0.0000], [0.0000, 0.0000, 7.2977]], "species": ["W", "Ru", "Gd", "Ru"], "frac_coords": [[0.5000, 0.5000, 0.0000], [0.0000, 0.0000, 0.7963], [0.5000, 0.5000, 0.5000], [0.0000, 0.0000, 0.2037]], "ef_ev_per_atom": -0.065, "polymorph_energy_mev_per_atom": 0.0, "n_ef_per_ev_atom": 1.153, "total_magnetization_mub_per_fu": 7.0}

=====

Record 18
{"formula": "GdYRu2", "functional": "PBE", "state": "relaxed", "cell": [[3.4192, 0.0000, 0.0000], [0.0000, 3.4192, 0.0000], [0.0000, 0.0000, 6.8432]], "species": ["Y", "Ru", "Ru", "Gd"], "frac_coords": [[0.5000, 0.5000, 0.5000], [0.0000, 0.0000, 0.2482], [0.0000, 0.0000, 0.7518], [0.5000, 0.5000, 0.0000]], "ef_ev_per_atom": -0.264, "n_ef_per_ev_atom": 1.238, "total_magnetization_mub_per_fu": 6.9}

=====

Record 19
{"formula": "GdYRu2", "functional": "PBE", "state": "relaxed", "cell": [[4.8373, 0.0001, -0.0001], [2.4187, 4.1877, 0.0005], [2.4186, 1.3964, 3.9481]], "species": ["Ru", "Gd", "Ru", "Y"], "frac_coords": [[0.9999, 0.0001, 0.0001], [0.7500, 0.7500, 0.7500], [0.5001, 0.4999, 0.4999], [0.2500, 0.2500, 0.2500]], "ef_ev_per_atom": -0.262, "n_ef_per_ev_atom": 0.996, "total_magnetization_mub_per_fu": 7.1}

=====

Record 20
{"formula": "Gd3YRu", "functional": "PBE", "state": "relaxed", "cell": [[-2.9217, 4.2892, -1.5600], [-4.5027, -3.0114, 0.1533], [-0.7456, 1.3789, 5.1874]], "species": ["Y", "Ru", "Gd", "Gd", "Gd"], "frac_coords": [[0.5000, 0.5000, 0.5000], [0.0000, 0.0000, 0.0000], [0.0000, 0.5000, 0.0000], [0.5000, 0.0000, 0.0000], [0.0000, 0.0000, 0.5000]], "ef_ev_per_atom": -0.055, "n_ef_per_ev_atom": 1.263, "total_magnetization_mub_per_fu": 22.5}